Arrangement w

## Sm3Dy5Tm (GGA-PBE)

Data for a relaxed structure of Sm3Dy5Tm. Values from VASP.

**Size of the total moment**: 0.0 Bohr magnetons per cell
**SG**: C2/m

Structure (Quantum ESPRESSO input):
```
&SYSTEM
  ibrav = 0, nat = 18, ntyp = 3
/
ATOMIC_SPECIES
Sm 150.36 Sm.upf
Dy 162.50 Dy.upf
Tm 168.93 Tm.upf
CELL_PARAMETERS angstrom
7.602 -5.698 0.000
7.602 5.698 0.000
-6.417 0.000 7.569
ATOMIC_POSITIONS crystal
Sm 0.000 0.000 0.000
Sm 0.008 0.008 0.312
Sm 0.479 0.479 0.140
Sm 0.500 0.500 0.500
Sm 0.521 0.521 0.860
Sm 0.992 0.992 0.688
Dy 0.092 0.595 0.752
Dy 0.221 0.221 0.729
Dy 0.243 0.757 0.500
Dy 0.277 0.277 0.462
Dy 0.405 0.908 0.248
Dy 0.595 0.092 0.752
Dy 0.723 0.723 0.538
Dy 0.757 0.243 0.500
Dy 0.779 0.779 0.271
Dy 0.908 0.405 0.248
Tm 0.251 0.251 0.102
Tm 0.749 0.749 0.898
```


Arrangement x

## Sm3Dy5Tm (GGA-PBE)

Data for a relaxed structure of Sm3Dy5Tm. Values from VASP.

**Size of the total moment**: 0.0 Bohr magnetons per cell
**SG**: C2/c

Structure (Quantum ESPRESSO input):
```
&SYSTEM
  ibrav = 0, nat = 18, ntyp = 3
/
ATOMIC_SPECIES
Sm 150.36 Sm.upf
Dy 162.50 Dy.upf
Tm 168.93 Tm.upf
CELL_PARAMETERS angstrom
8.210 -3.350 0.000
8.210 3.350 0.000
-3.795 0.000 10.737
ATOMIC_POSITIONS crystal
Sm 0.000 0.000 0.000
Sm 0.000 0.000 0.500
Sm 0.140 0.386 0.644
Sm 0.386 0.140 0.144
Sm 0.614 0.860 0.856
Sm 0.860 0.614 0.356
Dy 0.057 0.294 0.871
Dy 0.294 0.057 0.371
Dy 0.318 0.682 0.250
Dy 0.389 0.397 0.455
Dy 0.397 0.389 0.955
Dy 0.603 0.611 0.045
Dy 0.611 0.603 0.545
Dy 0.682 0.318 0.750
Dy 0.706 0.943 0.629
Dy 0.943 0.706 0.129
Tm 0.226 0.774 0.750
Tm 0.774 0.226 0.250
```


On energetic grounds, arrangement x is preferred over the next structure by 360 meV per atom.


Arrangement w

## SmDy6Tm3 (GGA-PBE)

Data for a relaxed structure of SmDy6Tm3. Values from VASP.

**Size of the total moment**: 0.0 Bohr magnetons per cell
**SG**: Cmc2_1

Structure (Quantum ESPRESSO input):
```
&SYSTEM
  ibrav = 0, nat = 20, ntyp = 3
/
ATOMIC_SPECIES
Sm 150.36 Sm.upf
Dy 162.50 Dy.upf
Tm 168.93 Tm.upf
CELL_PARAMETERS angstrom
4.796 -10.407 0.000
4.796 10.407 0.000
0.000 0.000 6.343
ATOMIC_POSITIONS crystal
Sm 0.162 0.838 0.500
Sm 0.838 0.162 0.000
Dy 0.015 0.985 0.303
Dy 0.105 0.543 0.818
Dy 0.261 0.379 0.062
Dy 0.301 0.699 0.277
Dy 0.379 0.261 0.562
Dy 0.457 0.895 0.818
Dy 0.543 0.105 0.318
Dy 0.621 0.739 0.062
Dy 0.699 0.301 0.777
Dy 0.739 0.621 0.562
Dy 0.895 0.457 0.318
Dy 0.985 0.015 0.803
Tm 0.044 0.295 0.476
Tm 0.295 0.044 0.976
Tm 0.418 0.582 0.586
Tm 0.582 0.418 0.086
Tm 0.705 0.956 0.476
Tm 0.956 0.705 0.976
```


Arrangement x

## SmDy6Tm3 (GGA-PBE)

Data for a relaxed structure of SmDy6Tm3. Values from VASP.

**Size of the total moment**: 0.0 Bohr magnetons per cell
**SG**: Cmc2_1

Structure (Quantum ESPRESSO input):
```
&SYSTEM
  ibrav = 0, nat = 20, ntyp = 3
/
ATOMIC_SPECIES
Sm 150.36 Sm.upf
Dy 162.50 Dy.upf
Tm 168.93 Tm.upf
CELL_PARAMETERS angstrom
5.472 -9.430 0.000
5.472 9.430 0.000
0.000 0.000 6.159
ATOMIC_POSITIONS crystal
Sm 0.206 0.794 0.500
Sm 0.794 0.206 0.000
Dy 0.042 0.461 0.289
Dy 0.047 0.953 0.737
Dy 0.284 0.716 0.007
Dy 0.290 0.381 0.118
Dy 0.381 0.290 0.618
Dy 0.461 0.042 0.789
Dy 0.539 0.958 0.289
Dy 0.619 0.710 0.118
Dy 0.710 0.619 0.618
Dy 0.716 0.284 0.507
Dy 0.953 0.047 0.237
Dy 0.958 0.539 0.789
Tm 0.063 0.281 0.695
Tm 0.281 0.063 0.195
Tm 0.389 0.611 0.577
Tm 0.611 0.389 0.077
Tm 0.719 0.937 0.695
Tm 0.937 0.719 0.195
```


On energetic grounds, arrangement w is preferred over the next structure by 25 meV per atom.


Arrangement w

## Sm2Dy5Tm4 (GGA-PBE)

Data for a relaxed structure of Sm2Dy5Tm4. Values from VASP.

**Size of the total moment**: 0.0 Bohr magnetons per cell
**SG**: C2/m

Structure (Quantum ESPRESSO input):
```
&SYSTEM
  ibrav = 0, nat = 11, ntyp = 3
/
ATOMIC_SPECIES
Sm 150.36 Sm.upf
Dy 162.50 Dy.upf
Tm 168.93 Tm.upf
CELL_PARAMETERS angstrom
5.492 -3.650 0.000
5.492 3.650 0.000
-2.773 0.000 8.781
ATOMIC_POSITIONS crystal
Sm 0.147 0.147 0.123
Sm 0.853 0.853 0.877
Dy 0.000 0.000 0.500
Dy 0.213 0.652 0.222
Dy 0.348 0.787 0.778
Dy 0.652 0.213 0.222
Dy 0.787 0.348 0.778
Tm 0.323 0.323 0.502
Tm 0.331 0.331 0.876
Tm 0.669 0.669 0.124
Tm 0.677 0.677 0.498
```


Arrangement x

## Sm2Dy5Tm4 (GGA-PBE)

Data for a relaxed structure of Sm2Dy5Tm4. Values from VASP.

**Size of the total moment**: 0.0 Bohr magnetons per cell
**SG**: Immm

Structure (Quantum ESPRESSO input):
```
&SYSTEM
  ibrav = 0, nat = 11, ntyp = 3
/
ATOMIC_SPECIES
Sm 150.36 Sm.upf
Dy 162.50 Dy.upf
Tm 168.93 Tm.upf
CELL_PARAMETERS angstrom
-1.737 4.476 11.565
1.737 -4.476 11.565
1.737 4.476 -11.565
ATOMIC_POSITIONS crystal
Sm 0.232 0.232 0.000
Sm 0.768 0.768 0.000
Dy 0.161 0.358 0.803
Dy 0.445 0.642 0.803
Dy 0.500 0.000 0.500
Dy 0.555 0.358 0.197
Dy 0.839 0.642 0.197
Tm 0.097 0.097 0.000
Tm 0.187 0.500 0.687
Tm 0.813 0.500 0.313
Tm 0.903 0.903 0.000
```


On energetic grounds, arrangement w is preferred over the next structure by 53 meV per atom.